Record 1
DFT (PBE-GGA) results for a relaxed Ge2SbPd7 crystal.

a b c (Å): 4.0641 4.0641 10.5355
angles (deg): 101.12 101.12 90.00
Last column: nearest neighbours and their distance in Å.
Fractional positions:
Pd (0.8985, 0.3985, 0.7971)  2 Ge 2.51
Pd (0.5000, 0.5000, 0.0000)  4 Sb 2.87, 8 Pd 2.89
Sb (0.0000, 0.0000, 0.0000)  12 Pd 2.87-2.89
Ge (0.3261, 0.3261, 0.6523)  8 Pd 2.51-2.55
Ge (0.6739, 0.6739, 0.3477)  8 Pd 2.51-2.55
Pd (0.6015, 0.1015, 0.2029)  2 Ge 2.51
Pd (0.7500, 0.2500, 0.5000)  4 Ge 2.55
Pd (0.3985, 0.8985, 0.7971)  2 Ge 2.51
Pd (0.2500, 0.7500, 0.5000)  4 Ge 2.55
Pd (0.1015, 0.6015, 0.2029)  2 Ge 2.51

* calculated total energy: -5.416 eV/atom
* energy relative to the elements, uncorrected: -0.4450 eV per atom



Record 2
DFT (PBE-GGA) results for a relaxed Sm2Ge3SbPd4 crystal.

a b c (Å): 4.3630 4.3630 10.5244
angles (deg): 90.00 90.00 90.00
Last column: nearest neighbours and their distance in Å.
Fractional positions:
Pd (0.5000, 0.0000, 0.6437)  3 Ge 2.44-2.65, 2 Sb 2.65
Ge (0.0000, 0.0000, 0.5000)  4 Pd 2.65
Sm (0.5000, 0.0000, 0.2342)  8 Pd 3.29-3.34, 6 Ge 3.29-3.55, 2 Sb 3.55
Ge (0.5000, 0.0000, 0.8757)  5 Pd 2.44-2.54
Sb (0.5000, 0.5000, 0.5000)  4 Pd 2.65
Sm (0.0000, 0.5000, 0.7658)  8 Pd 3.29-3.34, 6 Ge 3.29-3.55, 2 Sb 3.55
Pd (0.5000, 0.5000, 0.0000)  4 Ge 2.54
Pd (0.0000, 0.5000, 0.3563)  3 Ge 2.44-2.65, 2 Sb 2.65
Ge (0.0000, 0.5000, 0.1243)  5 Pd 2.44-2.54
Pd (0.0000, 0.0000, 0.0000)  4 Ge 2.54

* calculated total energy: -5.597 eV/atom
* energy relative to the elements, uncorrected: -0.7786 eV per atom